1.
Entry from the Alexandria database: a relaxed Cr2Co3H4 crystal (PBE-GGA).

Summary:
density of states at the Fermi level = 5.03 states/eV/f.u.
E_tot = -5.999 eV/atom

```
data_Cr2Co3H4
_cell_length_a 2.6106
_cell_length_b 2.6106
_cell_length_c 10.6200
_cell_angle_alpha 90.00
_cell_angle_beta 90.00
_cell_angle_gamma 120.00
_space_group_name_H-M_alt 'P -3 m 1'
_space_group_IT_number 164
_space_group_name_Hall '-P 3 2"'
loop_
_atom_site_label
_atom_site_type_symbol
_atom_site_fract_x
_atom_site_fract_y
_atom_site_fract_z
Cr1 Cr 0.3333 0.6667 0.2041
Co1 Co 0.0000 0.0000 0.0000
Co2 Co 0.3333 0.6667 0.5924
H1 H 0.0000 0.0000 0.3065
H2 H 0.3333 0.6667 0.9016
```

---

2.
Entry from the Alexandria database: a relaxed CaPOs2 crystal (PBE-GGA).

Summary:
density of states at the Fermi level = 5.24 states/eV/f.u.
E_tot = -6.857 eV/atom

```
data_CaPOs2
_cell_length_a 3.798
_cell_length_b 3.798
_cell_length_c 9.192
_cell_angle_alpha 90.00
_cell_angle_beta 90.00
_cell_angle_gamma 90.00
_space_group_name_H-M_alt 'I 4/m m m'
_space_group_IT_number 139
_space_group_name_Hall '-I 4 2'
loop_
_atom_site_label
_atom_site_type_symbol
_atom_site_fract_x
_atom_site_fract_y
_atom_site_fract_z
Ca1 Ca 0.000 0.000 0.000
P1 P 0.000 0.000 0.500
Os1 Os 0.000 0.500 0.250
```

---

3.
Entry from the Alexandria database: a relaxed ScTl2Ir crystal (PBE-GGA).

Summary:
density of states at the Fermi level = 3.09 states/eV/f.u.
E_tot = -4.848 eV/atom

```
data_ScTl2Ir
_cell_length_a 3.331
_cell_length_b 3.590
_cell_length_c 6.936
_cell_angle_alpha 90.00
_cell_angle_beta 90.00
_cell_angle_gamma 90.00
_space_group_name_H-M_alt 'P m m m'
_space_group_IT_number 47
_space_group_name_Hall '-P 2 2'
loop_
_atom_site_label
_atom_site_type_symbol
_atom_site_fract_x
_atom_site_fract_y
_atom_site_fract_z
Sc1 Sc 0.000 0.000 0.000
Tl1 Tl 0.500 0.500 0.273
Ir1 Ir 0.000 0.000 0.500
```

---

4.
Entry from the Alexandria database: a relaxed PmPr14Mg crystal (PBE-GGA).

Summary:
density of states at the Fermi level = 20.27 states/eV/f.u.
E_tot = -4.576 eV/atom

```
data_PmPr14Mg
_cell_length_a 10.437
_cell_length_b 10.390
_cell_length_c 10.390
_cell_angle_alpha 90.00
_cell_angle_beta 90.00
_cell_angle_gamma 90.00
_space_group_name_H-M_alt 'A m m 2'
_space_group_IT_number 38
_space_group_name_Hall 'A 2 -2'
loop_
_atom_site_label
_atom_site_type_symbol
_atom_site_fract_x
_atom_site_fract_y
_atom_site_fract_z
Pm1 Pm 0.000 0.000 0.000
Pr1 Pr 0.000 0.250 0.250
Pr2 Pr 0.246 0.000 0.252
Pr3 Pr 0.247 0.000 0.749
Pr4 Pr 0.247 0.249 0.500
Pr5 Pr 0.500 0.000 0.000
Pr6 Pr 0.500 0.000 0.500
Pr7 Pr 0.500 0.250 0.250
Mg1 Mg 0.000 0.000 0.501
```

---

5.
Entry from the Alexandria database: a relaxed Li2TlBr crystal (PBE-GGA).

Summary:
relative energy among the computed polymorphs = 73 kJ/mol of formula units
density of states at the Fermi level = 1.29 states/eV/f.u.
formation energy from raw total energies = -0.54 eV/atom

```
data_Li2TlBr
_cell_length_a 3.8225
_cell_length_b 3.8225
_cell_length_c 26.9244
_cell_angle_alpha 90.00
_cell_angle_beta 90.00
_cell_angle_gamma 120.00
_space_group_name_H-M_alt 'R 3 m'
_space_group_IT_number 160
_space_group_name_Hall 'R 3 -2"'
loop_
_atom_site_label
_atom_site_type_symbol
_atom_site_fract_x
_atom_site_fract_y
_atom_site_fract_z
Li1 Li 0.0000 0.0000 0.0000
Li2 Li 0.0000 0.0000 0.2332
Tl1 Tl 0.0000 0.0000 0.7462
Br1 Br 0.0000 0.0000 0.5306
```

---

6.
Entry from the Alexandria database: a relaxed Li2CaSnCl6 crystal (PBE-GGA).

Summary:
density of states at the Fermi level = 0.00 states/eV/f.u.
formation energy from raw total energies = -1.72 eV/atom

```
data_Li2CaSnCl6
_cell_length_a 6.8295
_cell_length_b 6.8295
_cell_length_c 18.3256
_cell_angle_alpha 90.00
_cell_angle_beta 90.00
_cell_angle_gamma 120.00
_space_group_name_H-M_alt 'R 3'
_space_group_IT_number 146
_space_group_name_Hall 'R 3'
loop_
_atom_site_label
_atom_site_type_symbol
_atom_site_fract_x
_atom_site_fract_y
_atom_site_fract_z
Li1 Li 0.0000 0.0000 0.0000
Li2 Li 0.0000 0.0000 0.4933
Ca1 Ca 0.0000 0.0000 0.1975
Sn1 Sn 0.0000 0.0000 0.6978
Cl1 Cl 0.0099 0.6387 0.2626
Cl2 Cl 0.0120 0.3935 0.7629
```

---

7.
Entry from the Alexandria database: a relaxed K2TeBr5 crystal (PBE-GGA).

Summary:
relative energy among the computed polymorphs = 59 kJ/mol of formula units
density of states at the Fermi level = 0.47 states/eV/f.u.
formation energy from raw total energies = -0.95 eV/atom

```
data_K2TeBr5
_cell_length_a 8.002
_cell_length_b 8.002
_cell_length_c 9.966
_cell_angle_alpha 90.00
_cell_angle_beta 90.00
_cell_angle_gamma 90.00
_space_group_name_H-M_alt 'I 4 m m'
_space_group_IT_number 107
_space_group_name_Hall 'I 4 -2'
loop_
_atom_site_label
_atom_site_type_symbol
_atom_site_fract_x
_atom_site_fract_y
_atom_site_fract_z
K1 K 0.000 0.500 0.000
Te1 Te 0.000 0.000 0.272
Br1 Br 0.000 0.000 0.979
Br2 Br 0.242 0.242 0.271
```

---

8.
Entry from the Alexandria database: a relaxed TiTlMo crystal (PBE-GGA).

Summary:
relative energy among the computed polymorphs = 35 kJ/mol of formula units
density of states at the Fermi level = 2.46 states/eV/f.u.

```
data_TiTlMo
_cell_length_a 3.069
_cell_length_b 4.330
_cell_length_c 8.886
_cell_angle_alpha 90.00
_cell_angle_beta 90.58
_cell_angle_gamma 90.00
_space_group_name_H-M_alt 'P 1 21/m 1'
_space_group_IT_number 11
_space_group_name_Hall '-P 2yb'
loop_
_atom_site_label
_atom_site_type_symbol
_atom_site_fract_x
_atom_site_fract_y
_atom_site_fract_z
Ti1 Ti 0.026 0.250 0.294
Tl1 Tl 0.466 0.250 0.884
Mo1 Mo 0.344 0.250 0.558
```

---

Number 1 is which compound?
Cr2Co3H4